Record 1
NaAcEuAu | PBE | relaxed

Cell: 7.9340 7.9340 7.9340 Å, 90.00 90.00 90.00°
With the nearest neighbours (Å) after each atom.
Space group F-43m (No. 216)
One atom of each set of equivalent atoms:
Na (0.0000, 0.0000, 0.0000) (multiplicity 4)  4 Eu 3.44, 4 Ac 3.44
Ac (0.2500, 0.2500, 0.7500) (multiplicity 4)  4 Na 3.44, 4 Au 3.44
Eu (0.2500, 0.2500, 0.2500) (multiplicity 4)  4 Na 3.44, 4 Au 3.44
Au (0.0000, 0.0000, 0.5000) (multiplicity 4)  4 Ac 3.44, 4 Eu 3.44

Calculated values
Volume: 499 Å³ per cell
Crystal system: cubic
Size of the total moment: 29.010 Bohr magnetons per cell
Energy of formation from the pure elements: -0.24 eV per atom

***

Record 2
ZnRh2Br | PBE | relaxed

Cell: 2.9180 5.0821 8.7730 Å, 90.00 90.00 90.00°
With the nearest neighbours (Å) after each atom.
Space group Immm (No. 71)
One atom of each set of equivalent atoms:
Zn (0.0000, 0.0000, 0.0000) (multiplicity 2)  4 Rh 2.62, 2 Zn 2.92, 4 Br 2.93
Rh (0.0000, 0.5000, 0.2524) (multiplicity 4)  2 Zn 2.62, 2 Br 2.65, 6 Rh 2.92-2.93
Br (0.0000, 0.0000, 0.5000) (multiplicity 2)  4 Rh 2.65, 2 Br 2.92, 4 Zn 2.93

Calculated values
Excess energy over the best structure of this formula in the dataset: 0.89 eV/f.u.
Volume: 130 Å³ per cell
Crystal system: orthorhombic
Size of the total moment: 0.000 Bohr magnetons per cell
ΔE_f (raw): 331.6 meV/atom

***

Record 3
Dy2HoErP4 | PBE | relaxed

Cell: 6.9136 3.9935 6.9138 Å, 90.00 109.46 90.00°
With the nearest neighbours (Å) after each atom.
Space group P2/m (No. 10)
One atom of each set of equivalent atoms:
Dy (0.0000, 0.0000, 0.0000) (multiplicity 1)  6 P 2.83
Dy (0.0000, 0.5000, 0.5000) (multiplicity 1)  6 P 2.83
Ho (0.5000, 0.0000, 0.5000) (multiplicity 1)  6 P 2.82
Er (0.5000, 0.5000, 0.0000) (multiplicity 1)  6 P 2.81
P (0.2521, 0.0000, 0.7512) (multiplicity 2)  2 Er 2.81, 1 Ho 2.82, 3 Dy 2.83
P (0.2516, 0.5000, 0.2500) (multiplicity 2)  1 Er 2.81, 2 Ho 2.82, 3 Dy 2.83

Calculated values
Volume: 180 Å³ per cell
Crystal system: monoclinic
Size of the total moment: 0.000 Bohr magnetons per cell
Energy of formation from the pure elements: -1.61 eV per atom